[1]
Here is crystalline Pm2Ga3Pd5 at its relaxed geometry from Alexandria. Energies are from PBE.

Calculated values
Calculated volume, Å³/atom: 19.08
Mass density, g/cm3: 8.98
Total magnetic moment, μB per formula unit: 0.00
Total energy, eV per atom: -5.24

Lattice parameters (Å, degrees): 5.847 8.613 8.613 77.94 70.16 70.16
Positions (direct):
1 Pm 0.140 0.583 0.137
2 Pm 0.640 0.137 0.583
3 Pm 0.860 0.417 0.863
4 Pm 0.360 0.863 0.417
5 Ga 0.356 0.541 0.746
6 Ga 0.856 0.746 0.541
7 Ga 0.644 0.459 0.254
8 Ga 0.144 0.254 0.459
9 Ga 0.250 0.000 0.000
10 Ga 0.750 0.000 0.000
11 Pd 0.408 0.267 0.916
12 Pd 0.908 0.916 0.267
13 Pd 0.592 0.733 0.084
14 Pd 0.092 0.084 0.733
15 Pd 0.464 0.786 0.786
16 Pd 0.536 0.214 0.214
17 Pd 0.750 0.500 0.500
18 Pd 0.250 0.500 0.500
19 Pd 0.036 0.214 0.214
20 Pd 0.964 0.786 0.786

---

[2]
Here is crystalline Pm4Ga2Pd at its relaxed geometry from Alexandria. Energies are from PBE.

Calculated values
Calculated volume, Å³/atom: 27.36
Mass density, g/cm3: 7.16
Total magnetic moment, μB per formula unit: 0.00
Total energy, eV per atom: -4.76

Lattice parameters (Å, degrees): 4.156 5.783 8.929 112.73 103.46 90.00
Positions (direct):
1 Pm 0.903 0.298 0.805
2 Pm 0.097 0.702 0.195
3 Pm 0.639 0.244 0.278
4 Pm 0.361 0.756 0.722
5 Ga 0.736 0.838 0.472
6 Ga 0.264 0.162 0.528
7 Pd 0.000 0.000 0.000

---

[3]
Here is crystalline Pm2Ga5Pd5 at its relaxed geometry from Alexandria. Energies are from PBE.

Calculated values
Calculated volume, Å³/atom: 18.29
Mass density, g/cm3: 8.86
Total magnetic moment, μB per formula unit: 0.00
Total energy, eV per atom: -4.98

Lattice parameters (Å, degrees): 4.314 5.375 9.465 90.00 90.00 90.00
Positions (direct):
1 Pm 0.000 0.500 0.000
2 Pm 0.000 0.000 0.500
3 Ga 0.500 0.500 0.500
4 Ga 0.500 0.746 0.236
5 Ga 0.500 0.254 0.764
6 Ga 0.500 0.254 0.236
7 Ga 0.500 0.746 0.764
8 Pd 0.000 0.500 0.337
9 Pd 0.000 0.000 0.811
10 Pd 0.000 0.000 0.189
11 Pd 0.000 0.500 0.663
12 Pd 0.500 0.000 0.000

---

[4]
Here is crystalline Pm2GaPd3 at its relaxed geometry from Alexandria. Energies are from PBE.

Calculated values
Calculated volume, Å³/atom: 21.54
Mass density, g/cm3: 8.72
Total magnetic moment, μB per formula unit: 0.00
Excess energy over the best structure of this formula in the dataset, eV per formula unit: 0.17
Total energy, eV per atom: -5.44

Lattice parameters (Å, degrees): 4.509 4.509 14.686 90.00 90.00 120.00
Positions (direct):
1 Pm 0.000 0.000 0.623
2 Pm 0.000 0.000 0.377
3 Pm 0.000 0.000 0.123
4 Pm 0.000 0.000 0.877
5 Ga 0.667 0.333 0.750
6 Ga 0.333 0.667 0.250
7 Pd 0.667 0.333 0.250
8 Pd 0.333 0.667 0.750
9 Pd 0.667 0.333 0.521
10 Pd 0.333 0.667 0.479
11 Pd 0.333 0.667 0.021
12 Pd 0.667 0.333 0.979